(1)
ScSiHPb2: relaxed, PBEsol.

Calculated values
For the magnetization, the calculation gives 0.0 μB per formula unit. For the energy above the most stable polymorph in this dataset, the calculation gives 0 meV per atom. The value obtained for the calculated volume is 27.698 Å³/atom.

Cell: 5.067 5.228 5.228 Å, 90.00 90.00 90.00°
Sites, in units of the cell vectors:
Pb (0.000, 0.000, 0.500)
Pb (0.000, 0.500, 0.000)
Sc (0.500, 0.000, 0.000)
Si (0.000, 0.000, 0.000)
H (0.500, 0.500, 0.500)


(2)
ScSiHPb2: relaxed, PBEsol.

Calculated values
For the magnetization, the calculation gives 1.0 μB per formula unit. For the energy above the most stable polymorph in this dataset, the calculation gives 219 meV per atom. The value obtained for the calculated volume is 30.801 Å³/atom.

Cell: 5.016 5.541 5.541 Å, 90.00 90.00 90.00°
Sites, in units of the cell vectors:
Pb (0.000, 0.000, 0.500)
Pb (0.000, 0.500, 0.000)
Sc (0.000, 0.000, 0.000)
Si (0.500, 0.000, 0.000)
H (0.500, 0.500, 0.500)


(3)
HPb2Se: relaxed, PBEsol.

Calculated values
For the magnetization, the calculation gives 0.0 μB per formula unit. The raw total energy is -14.33 eV/cell. The value obtained for the calculated volume is 22.222 Å³/atom.

Cell: 5.009 5.009 5.009 Å, 60.00 60.00 60.00°
Sites, in units of the cell vectors:
Pb (0.250, 0.250, 0.250)
Pb (0.750, 0.750, 0.750)
H (0.000, 0.000, 0.000)
Se (0.500, 0.500, 0.500)